## PmLuSnIr (PBE)

Data for a geometry-optimized PmLuSnIr structure.

Values from the calculation:
Formation energy: -53.9 kJ per mole of atoms

```
PmLuSnIr
1.0
5.107 0.000 0.000
2.554 4.423 0.000
2.554 1.474 4.170
Lu Sn Ir Pm
1 1 1 1
Cartesian
0.000 0.000 0.000
2.554 1.474 1.042
7.661 4.423 3.127
5.107 2.949 2.085
```